## TaFe2F (PBE+U)

Data for an optimized crystal structure of TaFe2F.

The calculation puts the total energy at -0.196 hartree per atom. Its energy above the most stable polymorph in this dataset is 595 meV per atom.

Unit cell a=6.264 b=6.264 c=6.264 alpha=90.00 beta=90.00 gamma=90.00
Space group Fm-3m (No. 225)
Asymmetric unit:
Ta: 0.000 0.000 0.000 [4 per cell]
Fe: 0.250 0.250 0.250 [8 per cell]
F: 0.000 0.000 0.500 [4 per cell]